Material: MnRh2Cl
Method: DFT, PBE
State: optimized geometry

POSCAR file:
```
MnRh2Cl
1.0
0.000 3.100 3.100
3.100 0.000 3.100
3.100 3.100 0.000
Mn Rh Cl
1 2 1
Cartesian
3.100 3.100 3.100
1.550 1.550 1.550
4.650 4.650 4.650
0.000 0.000 0.000
```

## Properties
Distance to the lowest polymorph of the same formula, meV/atom: 431
Space group: No. 225
Raw formation energy, eV/atom: 0.51
Theoretical density, g/cm3: 8.3
Crystal system: cubic
Final energy, eV per atom: -5.9235
V, A^3/atom: 14.9